Record 1
Compound: NbSe2
Source: Alexandria
Functional: GGA-PBE
Structure: relaxed

Cell and atoms, written as CIF:
```
data_NbSe2
_chemical_formula_sum 'Nb2 Se4'
_cell_length_a 5.866
_cell_length_b 6.622
_cell_length_c 3.467
_cell_angle_alpha 90.00
_cell_angle_beta 90.00
_cell_angle_gamma 90.00
_symmetry_space_group_name_H-M 'P n n m'
_symmetry_Int_Tables_number 58
loop_
_symmetry_equiv_pos_as_xyz
'x,y,z'
'-x,-y,-z'
'-x,-y,z'
'x,y,-z'
'x+1/2,-y+1/2,-z+1/2'
'-x+1/2,y+1/2,z+1/2'
'-x+1/2,y+1/2,-z+1/2'
'x+1/2,-y+1/2,z+1/2'
loop_
_atom_site_label
_atom_site_fract_x
_atom_site_fract_y
_atom_site_fract_z
_atom_site_occupancy
Nb1 0.000 0.000 0.000 1
Se1 0.227 0.342 0.000 1
```

Energy relative to the elements, uncorrected: -0.6541 eV per atom
Total moment: 0.00 μB/f.u.


Record 2
Compound: NbSe2
Source: Alexandria
Functional: GGA-PBE
Structure: relaxed

Cell and atoms, written as CIF:
```
data_NbSe2
_chemical_formula_sum 'Nb4 Se8'
_cell_length_a 3.4761
_cell_length_b 3.4761
_cell_length_c 26.3259
_cell_angle_alpha 90.00
_cell_angle_beta 90.00
_cell_angle_gamma 120.00
_symmetry_space_group_name_H-M 'P -6 m 2'
_symmetry_Int_Tables_number 187
_symmetry_space_group_name_Hall 'P -6 2'
loop_
_atom_site_label
_atom_site_fract_x
_atom_site_fract_y
_atom_site_fract_z
_atom_site_occupancy
Nb1 0.0000 0.0000 0.0000 1
Nb2 0.0000 0.0000 0.2494 1
Nb3 0.3333 0.6667 0.5000 1
Se1 0.3333 0.6667 0.0639 1
Se2 0.3333 0.6667 0.3136 1
Se3 0.6667 0.3333 0.1853 1
Se4 0.6667 0.3333 0.4361 1
```

Energy relative to the elements, uncorrected: -0.8426 eV per atom
Total moment: 0.00 μB/f.u.


Record 3
Compound: Nb2Se9
Source: Alexandria
Functional: GGA-PBE
Structure: relaxed

Cell and atoms, written as CIF:
```
data_Nb2Se9
_chemical_formula_sum 'Nb4 Se18'
_cell_length_a 8.518
_cell_length_b 8.755
_cell_length_c 8.806
_cell_angle_alpha 99.57
_cell_angle_beta 97.07
_cell_angle_gamma 94.10
_symmetry_space_group_name_H-M 'P -1'
_symmetry_Int_Tables_number 2
loop_
_symmetry_equiv_pos_as_xyz
'x,y,z'
'-x,-y,-z'
loop_
_atom_site_label
_atom_site_fract_x
_atom_site_fract_y
_atom_site_fract_z
_atom_site_occupancy
Nb1 0.083 0.140 0.101 1
Nb2 0.408 0.406 0.360 1
Se1 0.050 0.608 0.784 1
Se2 0.088 0.853 0.170 1
Se3 0.117 0.286 0.406 1
Se4 0.151 0.033 0.816 1
Se5 0.219 0.427 0.095 1
Se6 0.316 0.668 0.511 1
Se7 0.398 0.115 0.181 1
Se8 0.470 0.305 0.630 1
Se9 0.489 0.665 0.913 1
```

Energy relative to the elements, uncorrected: -0.5229 eV per atom
Total moment: 0.00 μB/f.u.


Record 4
Compound: NbSe
Source: Alexandria
Functional: GGA-PBE
Structure: relaxed

Cell and atoms, written as CIF:
```
data_NbSe
_chemical_formula_sum 'Nb2 Se2'
_cell_length_a 3.359
_cell_length_b 4.567
_cell_length_c 5.076
_cell_angle_alpha 90.00
_cell_angle_beta 108.84
_cell_angle_gamma 90.00
_symmetry_space_group_name_H-M 'P 1 21/m 1'
_symmetry_Int_Tables_number 11
loop_
_symmetry_equiv_pos_as_xyz
'x,y,z'
'-x,-y,-z'
'-x,y+1/2,-z'
'x,-y+1/2,z'
loop_
_atom_site_label
_atom_site_fract_x
_atom_site_fract_y
_atom_site_fract_z
_atom_site_occupancy
Nb1 0.088 0.250 0.180 1
Se1 0.376 0.250 0.747 1
```

Energy relative to the elements, uncorrected: -0.4045 eV per atom
Total moment: 0.00 μB/f.u.


Record 5
Compound: NbSe
Source: Alexandria
Functional: GGA-PBE
Structure: relaxed

Cell and atoms, written as CIF:
```
data_NbSe
_chemical_formula_sum 'Nb4 Se4'
_cell_length_a 5.895
_cell_length_b 5.895
_cell_length_c 5.895
_cell_angle_alpha 90.00
_cell_angle_beta 90.00
_cell_angle_gamma 90.00
_symmetry_space_group_name_H-M 'F -4 3 m'
_symmetry_Int_Tables_number 216
_symmetry_space_group_name_Hall 'F -4 2 3'
loop_
_atom_site_label
_atom_site_fract_x
_atom_site_fract_y
_atom_site_fract_z
_atom_site_occupancy
Nb1 0.000 0.000 0.000 1
Se1 0.250 0.250 0.250 1
```

Energy relative to the elements, uncorrected: 0.0867 eV per atom
Total moment: 1.79 μB/f.u.


Record 6
Compound: NbSe
Source: Alexandria
Functional: GGA-PBE
Structure: relaxed

Cell and atoms, written as CIF:
```
data_NbSe
_chemical_formula_sum 'Nb8 Se8'
_cell_length_a 4.946
_cell_length_b 6.439
_cell_length_c 10.370
_cell_angle_alpha 90.00
_cell_angle_beta 90.00
_cell_angle_gamma 90.00
_symmetry_space_group_name_H-M 'P 21 21 21'
_symmetry_Int_Tables_number 19
loop_
_symmetry_equiv_pos_as_xyz
'x,y,z'
'-x+1/2,-y,z+1/2'
'x+1/2,-y+1/2,-z'
'-x,y+1/2,-z+1/2'
loop_
_atom_site_label
_atom_site_fract_x
_atom_site_fract_y
_atom_site_fract_z
_atom_site_occupancy
Nb1 0.147 0.063 0.267 1
Nb2 0.180 0.379 0.452 1
Se1 0.161 0.574 0.713 1
Se2 0.180 0.984 0.517 1
```

Energy relative to the elements, uncorrected: -0.4062 eV per atom
Total moment: 0.00 μB/f.u.


Record 7
Compound: NbSe3
Source: Alexandria
Functional: GGA-PBE
Structure: relaxed

Cell and atoms, written as CIF:
```
data_NbSe3
_chemical_formula_sum 'Nb6 Se18'
_cell_length_a 10.592
_cell_length_b 3.515
_cell_length_c 15.799
_cell_angle_alpha 90.00
_cell_angle_beta 108.86
_cell_angle_gamma 90.00
_symmetry_space_group_name_H-M 'P 1 21/m 1'
_symmetry_Int_Tables_number 11
loop_
_symmetry_equiv_pos_as_xyz
'x,y,z'
'-x,-y,-z'
'-x,y+1/2,-z'
'x,-y+1/2,z'
loop_
_atom_site_label
_atom_site_fract_x
_atom_site_fract_y
_atom_site_fract_z
_atom_site_occupancy
Nb1 0.149 0.250 0.116 1
Nb2 0.168 0.250 0.790 1
Nb3 0.197 0.750 0.538 1
Se1 0.032 0.250 0.250 1
Se2 0.051 0.250 0.931 1
Se3 0.053 0.250 0.593 1
Se4 0.245 0.250 0.424 1
Se5 0.295 0.750 0.234 1
Se6 0.300 0.750 0.721 1
Se7 0.313 0.750 0.907 1
Se8 0.316 0.750 0.080 1
Se9 0.398 0.250 0.574 1
```

Energy relative to the elements, uncorrected: -0.6763 eV per atom
Total moment: 0.00 μB/f.u.


Record 8
Compound: NbSe
Source: Alexandria
Functional: GGA-PBE
Structure: relaxed

Cell and atoms, written as CIF:
```
data_NbSe
_chemical_formula_sum 'Nb8 Se8'
_cell_length_a 8.131
_cell_length_b 8.131
_cell_length_c 8.131
_cell_angle_alpha 90.00
_cell_angle_beta 90.00
_cell_angle_gamma 90.00
_symmetry_space_group_name_H-M 'I -4 3 m'
_symmetry_Int_Tables_number 217
_symmetry_space_group_name_Hall 'I -4 2 3'
loop_
_atom_site_label
_atom_site_fract_x
_atom_site_fract_y
_atom_site_fract_z
_atom_site_occupancy
Nb1 0.118 0.118 0.882 1
Se1 0.189 0.189 0.189 1
```

Energy relative to the elements, uncorrected: -0.3006 eV per atom
Total moment: 0.00 μB/f.u.


Record 9
Compound: NbSe
Source: Alexandria
Functional: GGA-PBE
Structure: relaxed

Cell and atoms, written as CIF:
```
data_NbSe
_chemical_formula_sum 'Nb8 Se8'
_cell_length_a 11.069
_cell_length_b 11.069
_cell_length_c 3.506
_cell_angle_alpha 90.00
_cell_angle_beta 90.00
_cell_angle_gamma 90.00
_symmetry_space_group_name_H-M 'I 4/m'
_symmetry_Int_Tables_number 87
_symmetry_space_group_name_Hall '-I 4'
loop_
_atom_site_label
_atom_site_fract_x
_atom_site_fract_y
_atom_site_fract_z
_atom_site_occupancy
Nb1 0.165 0.290 0.000 1
Se1 0.067 0.761 0.000 1
```

Energy relative to the elements, uncorrected: -0.3611 eV per atom
Total moment: 0.00 μB/f.u.


Record 10
Compound: NbSe
Source: Alexandria
Functional: GGA-PBE
Structure: relaxed

Cell and atoms, written as CIF:
```
data_NbSe
_chemical_formula_sum 'Nb8 Se8'
_cell_length_a 11.311
_cell_length_b 11.311
_cell_length_c 3.535
_cell_angle_alpha 90.00
_cell_angle_beta 90.00
_cell_angle_gamma 90.00
_symmetry_space_group_name_H-M 'P 4/m'
_symmetry_Int_Tables_number 83
loop_
_symmetry_equiv_pos_as_xyz
'x,y,z'
'-x,-y,-z'
'-y,x,z'
'y,-x,-z'
'-x,-y,z'
'x,y,-z'
'y,-x,z'
'-y,x,-z'
loop_
_atom_site_label
_atom_site_fract_x
_atom_site_fract_y
_atom_site_fract_z
_atom_site_occupancy
Nb1 0.032 0.625 0.000 1
Nb2 0.138 0.292 0.500 1
Se1 0.077 0.786 0.500 1
Se2 0.192 0.452 0.000 1
```

Energy relative to the elements, uncorrected: -0.4209 eV per atom
Total moment: 0.00 μB/f.u.


Record 11
Compound: NbSe2
Source: Alexandria
Functional: GGA-PBE
Structure: relaxed

Cell and atoms, written as CIF:
```
data_NbSe2
_chemical_formula_sum 'Nb2 Se4'
_cell_length_a 3.4778
_cell_length_b 3.4778
_cell_length_c 13.3745
_cell_angle_alpha 90.00
_cell_angle_beta 90.00
_cell_angle_gamma 120.00
_symmetry_space_group_name_H-M 'P 63/m m c'
_symmetry_Int_Tables_number 194
_symmetry_space_group_name_Hall '-P 6c 2c'
loop_
_atom_site_label
_atom_site_fract_x
_atom_site_fract_y
_atom_site_fract_z
_atom_site_occupancy
Nb1 0.0000 0.0000 0.2500 1
Se1 0.3333 0.6667 0.1241 1
```

Energy relative to the elements, uncorrected: -0.8566 eV per atom
Total moment: 0.00 μB/f.u.


Record 12
Compound: NbSe3
Source: Alexandria
Functional: GGA-PBE
Structure: relaxed

Cell and atoms, written as CIF:
```
data_NbSe3
_chemical_formula_sum 'Nb2 Se6'
_cell_length_a 3.229
_cell_length_b 11.902
_cell_length_c 5.825
_cell_angle_alpha 90.00
_cell_angle_beta 90.00
_cell_angle_gamma 90.00
_symmetry_space_group_name_H-M 'I m m 2'
_symmetry_Int_Tables_number 44
loop_
_symmetry_equiv_pos_as_xyz
'x,y,z'
'-x,-y,z'
'-x,y,z'
'x,-y,z'
'x+1/2,y+1/2,z+1/2'
'-x+1/2,-y+1/2,z+1/2'
'-x+1/2,y+1/2,z+1/2'
'x+1/2,-y+1/2,z+1/2'
loop_
_atom_site_label
_atom_site_fract_x
_atom_site_fract_y
_atom_site_fract_z
_atom_site_occupancy
Nb1 0.000 0.000 0.000 1
Se1 0.000 0.352 0.668 1
Se2 0.000 0.500 0.155 1
```

Energy relative to the elements, uncorrected: -0.4784 eV per atom
Total moment: 0.00 μB/f.u.